VASP calculation (SCAN) on KLiBe4 at its PBEsol-relaxed geometry.

```
KLiBe4
1.0
4.917 0.000 0.000
2.459 4.258 0.000
2.459 1.419 4.015
Be Li K
4 1 1
direct
0.910 0.363 0.363
0.363 0.910 0.363
0.363 0.363 0.363
0.363 0.363 0.910
0.000 0.000 0.000
0.750 0.750 0.750
```

Results
As for the space group: F-43m, No. 216. The formation energy is 656 meV per atom. As for the density of states at the Fermi level: 0.12 states/eV/atom.

=====

VASP calculation (SCAN) on KLiBeNi2 at its PBEsol-relaxed geometry.

```
KLiBeNi2
1.0
-1.414 0.957 4.210
0.475 -4.369 1.153
4.698 0.875 1.379
K Ni Be Li
1 2 1 1
direct
0.000 0.000 0.000
0.500 0.000 0.000
0.000 0.500 0.000
0.000 0.000 0.500
0.500 0.500 0.500
```

Results
As for the space group: P4/mmm, No. 123. The formation energy is 2121 meV per atom. As for the density of states at the Fermi level: 0.65 states/eV/atom.